# 1
## K3UNi2Se6 (PBE)

Data for K3UNi2Se6 after structural relaxation. Values from VASP.

Quantum ESPRESSO input file:
```
&SYSTEM
  ibrav = 0, nat = 12, ntyp = 4
/
ATOMIC_SPECIES
U 238.03 U.upf
Se 78.96 Se.upf
K 39.10 K.upf
Ni 58.69 Ni.upf
ATOMIC_POSITIONS crystal
U 0.0000 0.0000 0.0000
Se 0.2902 0.2902 0.8143
Se 0.4136 0.0617 0.1875
Se 0.9383 0.5864 0.8125
Se 0.5864 0.9383 0.8125
Se 0.0617 0.4136 0.1875
Se 0.7098 0.7098 0.1857
K 0.5000 0.5000 0.5000
K 0.1634 0.8366 0.5000
K 0.8366 0.1634 0.5000
Ni 0.3333 0.6667 0.0000
Ni 0.6667 0.3333 0.0000
CELL_PARAMETERS angstrom
6.7378 0.0074 -0.0002
-3.3609 5.8397 -0.0002
-1.1275 -1.9522 7.6740
```

## Properties
The uncorrected formation energy comes out at -0.77 eV/atom.

# 2
## KUNiSe4 (PBE)

Data for KUNiSe4 after structural relaxation. Values from VASP.

Quantum ESPRESSO input file:
```
&SYSTEM
  ibrav = 0, nat = 14, ntyp = 4
/
ATOMIC_SPECIES
Ni 58.69 Ni.upf
U 238.03 U.upf
K 39.10 K.upf
Se 78.96 Se.upf
ATOMIC_POSITIONS crystal
Ni 0.2503 0.7500 0.3484
Ni 0.7497 0.2500 0.6516
U 0.2650 0.2500 0.5546
U 0.7350 0.7500 0.4454
K 0.2490 0.2500 0.0515
K 0.7510 0.7500 0.9485
Se 0.5678 0.2500 0.4043
Se 0.4501 0.7500 0.1772
Se 0.9827 0.4901 0.2949
Se 0.5499 0.2500 0.8228
Se 0.0173 0.5099 0.7051
Se 0.4322 0.7500 0.5957
Se 0.0173 0.9901 0.7051
Se 0.9827 0.0099 0.2949
CELL_PARAMETERS angstrom
-5.8145 3.0280 -1.8216
-2.9753 -4.8118 1.4987
1.2510 2.0194 8.9670
```

## Properties
The uncorrected formation energy comes out at -0.89 eV/atom.